Below is an optimized crystal structure of BeSbMo2, with properties calculated at the PBE level.

Geometry as CIF:
```
data_BeSbMo2
_chemical_formula_sum 'Be1 Sb1 Mo2'
_cell_length_a 4.699
_cell_length_b 4.699
_cell_length_c 4.658
_cell_angle_alpha 79.62
_cell_angle_beta 79.62
_cell_angle_gamma 40.12
_space_group_name_H-M_alt 'P 1'
_space_group_IT_number 1
_space_group_name_Hall 'P 1'
loop_
_atom_site_label
_atom_site_type_symbol
_atom_site_fract_x
_atom_site_fract_y
_atom_site_fract_z
Sb1 Sb 0.750 0.750 0.750
Mo1 Mo 0.506 0.506 0.458
Mo2 Mo 0.994 0.994 0.042
Be1 Be 0.250 0.250 0.250
```

As for the formation energy from raw total energies: 0.311 eV/atom.